The following is a DFT calculation (SCAN) of a PBEsol-optimized structure of Ca5Ni15B4.

Cell lengths 5.0094, 5.0094, 27.5099 Å; angles 90.00, 90.00, 120.00 degrees
Closest atoms and distances in Å follow each position.
Space group P6_3/mmc (No. 194)
Inequivalent atoms, fractional coordinates:
Ca1 0.3333 0.6667 0.0186 (multiplicity 4)  12 Ni 2.94-3.02, 4 Ca 3.07-3.10
Ca2 0.3333 0.6667 0.1311 (multiplicity 4)  12 Ni 2.82-2.91, 6 B 2.89, 1 Ca 3.10
Ca3 0.3333 0.6667 0.2500 (multiplicity 2)  18 Ni 2.89-3.20
Ni1 0.0000 0.0000 0.0000 (multiplicity 2)  6 Ni 2.56
Ni2 0.0000 0.0000 0.2500 (multiplicity 2)  6 Ni 2.46
Ni3 0.1643 0.3285 0.5773 (multiplicity 12)  2 B 2.00
Ni4 0.1673 0.3346 0.6779 (multiplicity 12)  2 B 1.99-2.02
Ni5 0.3333 0.6667 0.7500 (multiplicity 2)  6 Ni 2.45
B1 0.0000 0.0000 0.1282 (multiplicity 4)  6 Ni 1.99-2.00
B2 0.3333 0.6667 0.6267 (multiplicity 4)  6 Ni 2.00-2.02

ΔH_f (0 K) = -0.304 eV/atom
Magnetization = 0.0 μB per formula unit

---

The following is a DFT calculation (SCAN) of a PBEsol-optimized structure of Ca2TiNiB.

Cell lengths 5.5271, 5.5271, 4.0885 Å; angles 90.00, 90.00, 90.00 degrees
Closest atoms and distances in Å follow each position.
Space group P4/mmm (No. 123)
Inequivalent atoms, fractional coordinates:
Ca1 0.0000 0.5000 0.0000 (multiplicity 2)  2 Ti 2.76
Ti1 0.0000 0.0000 0.0000 (multiplicity 1)  2 Ni 2.04
Ni1 0.0000 0.0000 0.5000 (multiplicity 1)  2 Ti 2.04
B1 0.5000 0.5000 0.5000 (multiplicity 1)  8 Ca 3.44

ΔH_f (0 K) = 1.414 eV/atom
Magnetization = 1.8 μB per formula unit

---

The following is a DFT calculation (SCAN) of a PBEsol-optimized structure of CaB2O4.

Cell lengths 8.9938, 8.9938, 8.9938 Å; angles 90.00, 90.00, 90.00 degrees
Closest atoms and distances in Å follow each position.
Space group Pa-3 (No. 205)
Inequivalent atoms, fractional coordinates:
Ca1 0.0000 0.0000 0.0000 (multiplicity 4)  12 O 2.66-2.77
Ca2 0.1269 0.6269 0.8731 (multiplicity 8)  9 O 2.38-2.60
B1 0.1196 0.1906 0.3463 (multiplicity 24)  4 O 1.47-1.49
O1 0.0071 0.0902 0.2819 (multiplicity 24)  2 B 1.47-1.49
O2 0.1211 0.1657 0.7696 (multiplicity 24)  2 B 1.47-1.49

Distance to the lowest polymorph of the same formula = 0.017 eV/atom
ΔE_f (raw) = -1995 kJ/mol of formula units
Magnetization = 0.0 μB per formula unit

---

The following is a DFT calculation (SCAN) of a PBEsol-optimized structure of Ca2B2O5.

Cell lengths 3.5340, 6.3358, 19.1900 Å; angles 90.00, 90.00, 90.00 degrees
Closest atoms and distances in Å follow each position.
Space group P2_12_12_1 (No. 19)
Inequivalent atoms, fractional coordinates:
Ca1 0.2058 0.0602 0.0620 (multiplicity 4)  6 O 2.30-2.49
Ca2 0.2065 0.1984 0.7892 (multiplicity 4)  6 O 2.30-2.40
B1 0.1473 0.4991 0.0825 (multiplicity 4)  3 O 1.36-1.42
B2 0.1831 0.2856 0.3439 (multiplicity 4)  3 O 1.37-1.43
O1 0.0022 0.7036 0.0958 (multiplicity 4)  2 B 1.42-1.43
O2 0.1906 0.5123 0.8527 (multiplicity 4)  1 B 1.37
O3 0.2041 0.4408 0.0150 (multiplicity 4)  1 B 1.36
O4 0.2094 0.3596 0.1354 (multiplicity 4)  1 B 1.36
O5 0.2112 0.1750 0.2831 (multiplicity 4)  1 B 1.37

Distance to the lowest polymorph of the same formula = 0.000 eV/atom
ΔE_f (raw) = -2689 kJ/mol of formula units
Magnetization = 0.0 μB per formula unit

---

The following is a DFT calculation (SCAN) of a PBEsol-optimized structure of CaB4O7.

Cell lengths 7.8198, 9.8814, 14.4076 Å; angles 90.00, 121.36, 90.00 degrees
Closest atoms and distances in Å follow each position.
Space group P2_1/c (No. 14)
Inequivalent atoms, fractional coordinates:
Ca1 0.0138 0.1159 0.3460 (multiplicity 4)  5 O 2.33-2.42
Ca2 0.3579 0.0817 0.0621 (multiplicity 4)  5 O 2.25-2.47
B1 0.0831 0.5701 0.6808 (multiplicity 4)  4 O 1.43-1.53
B2 0.1250 0.7098 0.5499 (multiplicity 4)  3 O 1.36-1.41
B3 0.2233 0.1086 0.8013 (multiplicity 4)  4 O 1.45-1.51
B4 0.2274 0.1780 0.2102 (multiplicity 4)  3 O 1.36-1.41
B5 0.2748 0.6736 0.8675 (multiplicity 4)  3 O 1.37-1.38
B6 0.2900 0.5851 0.0343 (multiplicity 4)  4 O 1.43-1.53
B7 0.3013 0.1085 0.6523 (multiplicity 4)  3 O 1.35-1.40
B8 0.4362 0.7069 0.5415 (multiplicity 4)  4 O 1.42-1.53
O1 0.0103 0.1483 0.9266 (multiplicity 4)  2 B 1.41-1.53
O2 0.0716 0.0252 0.8015 (multiplicity 4)  2 B 1.43-1.45
O3 0.1218 0.6516 0.0433 (multiplicity 4)  2 B 1.37-1.53
O4 0.1537 0.2483 0.2639 (multiplicity 4)  2 B 1.37-1.51
O5 0.1996 0.0459 0.1787 (multiplicity 4)  2 B 1.36-1.47
O6 0.2173 0.5774 0.9153 (multiplicity 4)  2 B 1.38-1.50
O7 0.2167 0.6720 0.7599 (multiplicity 4)  2 B 1.37-1.47
O8 0.2588 0.6363 0.5377 (multiplicity 4)  1 B 1.36
O9 0.2668 0.0380 0.7231 (multiplicity 4)  2 B 1.37-1.51
O10 0.3106 0.0550 0.5690 (multiplicity 4)  2 B 1.35-1.45
O11 0.3179 0.2493 0.6628 (multiplicity 4)  2 B 1.40-1.41
O12 0.3889 0.7180 0.4274 (multiplicity 4)  2 B 1.37-1.49
O13 0.4004 0.1090 0.9099 (multiplicity 4)  2 B 1.45-1.46
O14 0.4680 0.6645 0.0925 (multiplicity 4)  2 B 1.42-1.43

ΔE_f (raw) = -3289 kJ/mol of formula units
Magnetization = 0.0 μB per formula unit

---

The following is a DFT calculation (SCAN) of a PBEsol-optimized structure of CaB3O6.

Cell lengths 13.6915, 6.9444, 4.3783 Å; angles 90.00, 90.00, 90.00 degrees
Closest atoms and distances in Å follow each position.
Space group Pna2_1 (No. 33)
Inequivalent atoms, fractional coordinates:
Ca1 0.0900 0.2414 0.0000 (multiplicity 4)  6 O 2.31-2.56
B1 0.0763 0.7264 0.9412 (multiplicity 4)  4 O 1.44-1.49
B2 0.1462 0.8640 0.4316 (multiplicity 4)  4 O 1.43-1.49
B3 0.2339 0.6170 0.1445 (multiplicity 4)  3 O 1.37-1.38
O1 0.0224 0.3204 0.5297 (multiplicity 4)  1 B 1.44
O2 0.0743 0.7721 0.6195 (multiplicity 4)  2 B 1.43-1.44
O3 0.0985 0.8993 0.1299 (multiplicity 4)  2 B 1.49
O4 0.1478 0.5689 0.0023 (multiplicity 4)  2 B 1.38-1.49
O5 0.1757 0.0490 0.5642 (multiplicity 4)  2 B 1.37-1.47
O6 0.2354 0.7480 0.3797 (multiplicity 4)  2 B 1.37-1.48

Distance to the lowest polymorph of the same formula = 0.000 eV/atom
ΔE_f (raw) = -2548 kJ/mol of formula units
Magnetization = 1.0 μB per formula unit

---

The following is a DFT calculation (SCAN) of a PBEsol-optimized structure of CaBO2.

Cell lengths 3.8441, 3.8441, 13.6896 Å; angles 90.00, 90.00, 120.00 degrees
Closest atoms and distances in Å follow each position.
Space group R-3m (No. 166, hexagonal axes)
Inequivalent atoms, fractional coordinates:
Ca1 0.0000 0.0000 0.0000 (multiplicity 3)  6 O 2.43
B1 0.0000 0.0000 0.5000 (multiplicity 3)  2 O 1.30
O1 0.0000 0.0000 0.4048 (multiplicity 6)  1 B 1.30

ΔE_f (raw) = -905 kJ/mol of formula units
Magnetization = 0.0 μB per formula unit

---

The following is a DFT calculation (SCAN) of a PBEsol-optimized structure of CaB3O6.

Cell lengths 6.5728, 10.1922, 6.7048 Å; angles 90.00, 117.16, 90.00 degrees
Closest atoms and distances in Å follow each position.
Space group P2_1/c (No. 14)
Inequivalent atoms, fractional coordinates:
Ca1 0.1057 0.0728 0.2901 (multiplicity 4)  7 O 2.34-2.53
B1 0.2638 0.1170 0.9069 (multiplicity 4)  4 O 1.44-1.48
B2 0.3616 0.5758 0.2286 (multiplicity 4)  4 O 1.46-1.49
B3 0.4083 0.7278 0.9674 (multiplicity 4)  3 O 1.37-1.38
O1 0.0582 0.1269 0.9328 (multiplicity 4)  1 B 1.44
O2 0.2253 0.0417 0.7038 (multiplicity 4)  2 B 1.46-1.48
O3 0.2689 0.6846 0.3104 (multiplicity 4)  2 B 1.37-1.49
O4 0.3249 0.6100 0.0012 (multiplicity 4)  2 B 1.38-1.47
O5 0.3634 0.2461 0.9033 (multiplicity 4)  2 B 1.37-1.47
O6 0.3984 0.0443 0.1164 (multiplicity 4)  2 B 1.47

Distance to the lowest polymorph of the same formula = 0.004 eV/atom
ΔE_f (raw) = -2544 kJ/mol of formula units
Magnetization = 1.0 μB per formula unit

---

The following is a DFT calculation (SCAN) of a PBEsol-optimized structure of CaB4O7.

Cell lengths 10.6064, 4.3676, 4.1908 Å; angles 90.00, 90.00, 90.00 degrees
Closest atoms and distances in Å follow each position.
Space group Pmn2_1 (No. 31)
Inequivalent atoms, fractional coordinates:
Ca1 0.0000 0.1932 0.0000 (multiplicity 2)  5 O 2.41-2.58
B1 0.1205 0.6735 0.5028 (multiplicity 4)  4 O 1.44-1.54
B2 0.2494 0.8223 0.9811 (multiplicity 4)  4 O 1.43-1.54
O1 0.0000 0.7844 0.3920 (multiplicity 2)  2 B 1.44
O2 0.1333 0.7234 0.8445 (multiplicity 4)  2 B 1.43-1.45
O3 0.1375 0.3517 0.4256 (multiplicity 4)  2 B 1.44-1.45
O4 0.2251 0.8624 0.3402 (multiplicity 4)  3 B 1.52-1.54

ΔE_f (raw) = -3290 kJ/mol of formula units
Magnetization = 0.0 μB per formula unit

---

Question: magnetization of number 8 (CaB3O6)?
Answer: 1.0 μB per formula unit

---

What did the sixth record say?
The following is a DFT calculation (SCAN) of a PBEsol-optimized structure of CaB3O6.

Cell lengths 13.6915, 6.9444, 4.3783 Å; angles 90.00, 90.00, 90.00 degrees
Closest atoms and distances in Å follow each position.
Space group Pna2_1 (No. 33)
Inequivalent atoms, fractional coordinates:
Ca1 0.0900 0.2414 0.0000 (multiplicity 4)  6 O 2.31-2.56
B1 0.0763 0.7264 0.9412 (multiplicity 4)  4 O 1.44-1.49
B2 0.1462 0.8640 0.4316 (multiplicity 4)  4 O 1.43-1.49
B3 0.2339 0.6170 0.1445 (multiplicity 4)  3 O 1.37-1.38
O1 0.0224 0.3204 0.5297 (multiplicity 4)  1 B 1.44
O2 0.0743 0.7721 0.6195 (multiplicity 4)  2 B 1.43-1.44
O3 0.0985 0.8993 0.1299 (multiplicity 4)  2 B 1.49
O4 0.1478 0.5689 0.0023 (multiplicity 4)  2 B 1.38-1.49
O5 0.1757 0.0490 0.5642 (multiplicity 4)  2 B 1.37-1.47
O6 0.2354 0.7480 0.3797 (multiplicity 4)  2 B 1.37-1.48

Distance to the lowest polymorph of the same formula = 0.000 eV/atom
ΔE_f (raw) = -2548 kJ/mol of formula units
Magnetization = 1.0 μB per formula unit